{
  "formula": "K2MnMoO6",
  "functional": "PBE with a Hubbard U",
  "state": "optimized geometry",
  "cell": [[5.132, 0.000, 0.000], [0.000, 6.040, 0.000], [0.000, -3.020, 5.231]],
  "species": ["O", "O", "O", "O", "O", "O", "Mn", "K", "K", "Mo"],
  "fractional_positions": [[0.251, 0.859, 0.141], [0.749, 0.141, 0.859], [0.749, 0.718, 0.859], [0.749, 0.141, 0.282], [0.251, 0.282, 0.141], [0.251, 0.859, 0.718], [0.500, 0.000, 0.000], [0.319, 0.333, 0.667], [0.681, 0.667, 0.333], [0.000, 0.000, 0.000]],
  "final_energy_ev_per_atom": -6.170,
  "spacegroup": "P-3m1 (164)",
  "crystal_system": "trigonal"
}